[1]
{"formula": "LiScSN2", "functional": "GGA-PBE", "state": "optimized geometry", "dos_at_fermi_per_ev_fu": 2.4, "de_polymorph_mev_per_atom": 0, "final_energy_ev_per_atom": -5.5257, "m_tot_mub_per_cell": 3.96, "formation_energy_uncorrected_ev_per_atom": 0.279, "lattice_angstrom": [[4.267, 0.000, 0.000], [0.000, 4.267, 0.000], [0.000, 0.000, 5.074]], "species": ["Li", "Sc", "S", "N", "N"], "fractional_positions": [[0.000, 0.000, 0.000], [0.500, 0.500, 0.500], [0.500, 0.500, 0.000], [0.000, 0.500, 0.500], [0.500, 0.000, 0.500]]}

[2]
{"formula": "Ac2TbCu3Ge4", "functional": "GGA-PBE", "state": "optimized geometry", "dos_at_fermi_per_ev_fu": 2.6, "formation_enthalpy_0k_ev_per_atom": -0.5340, "final_energy_ev_per_atom": -4.8945, "m_tot_mub_per_cell": 0.00, "lattice_angstrom": [[4.452, 0.000, 0.000], [0.000, 4.452, 0.000], [0.000, 0.000, 10.993]], "species": ["Ac", "Ac", "Tb", "Cu", "Cu", "Cu", "Ge", "Ge", "Ge", "Ge"], "fractional_positions": [[0.000, 0.500, 0.227], [0.500, 0.000, 0.773], [0.000, 0.000, 0.500], [0.000, 0.500, 0.888], [0.500, 0.000, 0.112], [0.500, 0.500, 0.500], [0.000, 0.000, 0.000], [0.000, 0.500, 0.659], [0.500, 0.000, 0.341], [0.500, 0.500, 0.000]]}

Copy entry 1 word for word.
{"formula": "LiScSN2", "functional": "GGA-PBE", "state": "optimized geometry", "dos_at_fermi_per_ev_fu": 2.4, "de_polymorph_mev_per_atom": 0, "final_energy_ev_per_atom": -5.5257, "m_tot_mub_per_cell": 3.96, "formation_energy_uncorrected_ev_per_atom": 0.279, "lattice_angstrom": [[4.267, 0.000, 0.000], [0.000, 4.267, 0.000], [0.000, 0.000, 5.074]], "species": ["Li", "Sc", "S", "N", "N"], "fractional_positions": [[0.000, 0.000, 0.000], [0.500, 0.500, 0.500], [0.500, 0.500, 0.000], [0.000, 0.500, 0.500], [0.500, 0.000, 0.500]]}